Density functional theory data (PBE) for a relaxed Sm2Al9Cu3 crystal.

Geometry as POSCAR:
```
Sm2Al9Cu3
1.0
-6.366 0.956 -3.982
2.510 -6.960 1.600
-1.924 1.814 10.423
Sm Al Cu
4 18 6
direct
0.335 0.248 0.751
0.665 0.752 0.249
0.997 0.584 0.749
0.003 0.416 0.251
0.461 0.916 0.749
0.539 0.084 0.251
0.667 0.712 0.751
0.333 0.288 0.249
0.456 0.646 0.934
0.544 0.354 0.066
0.212 0.523 0.566
0.788 0.477 0.434
0.876 0.126 0.750
0.124 0.874 0.250
0.129 0.982 0.945
0.871 0.018 0.055
0.537 0.184 0.555
0.463 0.816 0.445
0.874 0.856 0.564
0.126 0.144 0.436
0.792 0.309 0.936
0.208 0.691 0.064
0.500 0.000 0.000
0.500 0.500 0.500
0.838 0.169 0.498
0.162 0.831 0.502
0.172 0.340 0.002
0.828 0.660 0.998
```

Values from the calculation:
Crystal system   monoclinic
DOS at the Fermi energy   5.18 states/eV/f.u.
ΔH_f (0 K)   -410 kJ/mol of formula units
Space group   C2/c
M_tot   0.00 μB per cell

=====

Density functional theory data (PBE) for a relaxed CrAuIN2 crystal.

Geometry as POSCAR:
```
CrAuIN2
1.0
3.792 0.000 0.000
0.000 3.792 0.000
0.000 0.000 5.858
I Cr Au N
1 1 1 2
direct
0.000 0.000 0.500
0.000 0.000 0.000
0.500 0.500 0.500
0.000 0.500 0.000
0.500 0.000 0.000
```

Values from the calculation:
Crystal system   tetragonal
E above lowest polymorph   0 meV/atom
DOS at the Fermi energy   3.11 states/eV/f.u.
Space group   P4/mmm
Formation energy without anion corrections   0.794 eV per atom
M_tot   0.48 μB per cell

=====

Density functional theory data (PBE) for a relaxed ScPdS2 crystal.

Geometry as POSCAR:
```
ScPdS2
1.0
-0.276 -2.990 -2.415
2.283 -0.192 -3.098
5.326 -4.430 1.803
Sc Pd S
1 1 2
direct
0.666 0.666 0.003
0.537 0.537 0.388
0.056 0.056 0.833
0.241 0.241 0.277
```

Values from the calculation:
Crystal system   trigonal
E above lowest polymorph   0 meV/atom
DOS at the Fermi energy   2.34 states/eV/f.u.
Space group   R3m
Formation energy without anion corrections   -1.043 eV per atom
M_tot   0.00 μB per cell

=====

Here are the calculated total energy numbers, same order: -119.3; -27.1; -24.0 (eV per cell).